1.
Computed, not measured: GdTlFeS3 after structural relaxation at the PBE level of DFT.

Summary:
* energy above the most stable polymorph in this dataset: 10 meV per atom
* SG: Cmcm
* magnetization: 3.99 μB/f.u.

Cell: 7.383 7.383 10.531 Å, 90.00 90.00 31.26°
Fractional coordinates of all 12 atoms:
Fe 0.467 0.467 0.250
S 0.059 0.059 0.250
S 0.624 0.624 0.928
S 0.376 0.376 0.428
S 0.941 0.941 0.750
S 0.624 0.624 0.572
Gd 0.000 0.000 0.000
Gd 0.000 0.000 0.500
Tl 0.253 0.253 0.750
Tl 0.747 0.747 0.250
S 0.376 0.376 0.072
Fe 0.533 0.533 0.750



2.
Computed, not measured: Sm2Fe2I after structural relaxation at the PBE level of DFT.

Summary:
* VASP energy: -0.4409 Ry/atom
* SG: P-6m2
* magnetization: 2.15 μB/f.u.

Cell: 3.967 3.967 8.746 Å, 90.00 90.00 120.00°
Fractional coordinates of all 5 atoms:
I 0.667 0.333 0.000
Sm 0.000 0.000 0.287
Fe 0.333 0.667 0.500
Sm 0.000 0.000 0.713
Fe 0.667 0.333 0.500



3.
Computed, not measured: RbPmNO after structural relaxation at the PBE level of DFT.

Summary:
* energy above the most stable polymorph in this dataset: 269 meV per atom
* SG: P4/nmm
* magnetization: 0.00 μB/f.u.

Cell: 5.447 5.447 4.772 Å, 90.00 90.00 90.00°
Fractional coordinates of all 8 atoms:
Pm 0.000 0.000 0.500
N 0.500 0.000 0.502
Rb 0.500 0.000 0.002
Rb 0.000 0.500 0.998
O 0.500 0.500 0.000
O 0.000 0.000 0.000
Pm 0.500 0.500 0.500
N 0.000 0.500 0.498



4.
Computed, not measured: BaInCu3S4 after structural relaxation at the PBE level of DFT.

Summary:
* VASP energy: -0.3178 Ry/atom
* SG: Ama2

Cell: 10.638 6.362 6.362 Å, 116.50 90.00 90.00°
Fractional coordinates of all 18 atoms:
Cu 0.122 0.226 0.794
S 0.250 0.235 0.088
Cu 0.622 0.794 0.226
S 0.575 0.425 0.915
Cu 0.878 0.794 0.226
Ba 0.500 0.411 0.411
S 0.750 0.737 0.541
S 0.250 0.541 0.737
Cu 0.378 0.226 0.794
In 0.250 0.862 0.140
S 0.075 0.915 0.425
S 0.750 0.088 0.235
S 0.925 0.425 0.915
Ba 0.000 0.411 0.411
Cu 0.750 0.613 0.828
Cu 0.250 0.828 0.613
S 0.425 0.915 0.425
In 0.750 0.140 0.862



5.
Computed, not measured: BeHgAsO after structural relaxation at the PBE level of DFT.

Summary:
* energy above the most stable polymorph in this dataset: 10 meV per atom
* SG: Pmc2_1

Cell: 2.822 6.938 6.219 Å, 90.00 90.00 90.00°
Fractional coordinates of all 8 atoms:
As 0.000 0.508 0.757
Hg 0.500 0.808 0.011
O 0.500 0.859 0.490
Be 0.000 0.229 0.995
As 0.000 0.492 0.257
Hg 0.500 0.192 0.511
O 0.500 0.141 0.990
Be 0.000 0.771 0.495



6.
Computed, not measured: LiPmBe after structural relaxation at the PBE level of DFT.

Summary:
* energy above the most stable polymorph in this dataset: 221 meV per atom
* SG: F-43m
* magnetization: 0.00 μB/f.u.

Cell: 4.650 4.650 4.650 Å, 60.00 60.00 60.00°
Fractional coordinates of all 3 atoms:
Li 0.750 0.750 0.750
Pm 0.000 0.000 0.000
Be 0.250 0.250 0.250



7.
Computed, not measured: LuAl2Pt after structural relaxation at the PBE level of DFT.

Summary:
* VASP energy: -0.3821 Ry/atom
* SG: F-43m
* magnetization: 0.00 μB/f.u.

Cell: 4.657 4.657 4.657 Å, 60.00 60.00 60.00°
Fractional coordinates of all 4 atoms:
Lu 0.500 0.500 0.500
Pt 0.750 0.750 0.750
Al 0.000 0.000 0.000
Al 0.250 0.250 0.250



8.
Computed, not measured: TbPmTm after structural relaxation at the PBE level of DFT.

Summary:
* energy above the most stable polymorph in this dataset: 0 meV per atom
* SG: F-43m
* magnetization: 0.00 μB/f.u.
* DFT formation energy: 0.71 eV per atom

Cell: 5.420 5.420 5.420 Å, 60.00 60.00 60.00°
Fractional coordinates of all 3 atoms:
Tb 0.750 0.750 0.750
Pm 0.250 0.250 0.250
Tm 0.000 0.000 0.000



9.
Computed, not measured: LaTlCdTe3 after structural relaxation at the PBE level of DFT.

Summary:
* energy above the most stable polymorph in this dataset: 0 meV per atom
* SG: Pnma
* magnetization: 0.00 μB/f.u.

Cell: 12.143 4.613 15.400 Å, 90.00 90.00 90.00°
Fractional coordinates of all 24 atoms:
La 0.013 0.250 0.257
Cd 0.761 0.750 0.218
Te 0.578 0.750 0.105
Te 0.240 0.750 0.667
Cd 0.239 0.250 0.782
Te 0.422 0.250 0.895
Te 0.956 0.750 0.116
Tl 0.776 0.250 0.010
Te 0.760 0.250 0.333
La 0.987 0.750 0.743
Te 0.922 0.250 0.605
La 0.487 0.750 0.757
Te 0.078 0.750 0.395
Tl 0.724 0.750 0.510
Tl 0.276 0.250 0.490
Te 0.260 0.250 0.167
Te 0.044 0.250 0.884
Cd 0.261 0.750 0.282
Cd 0.739 0.250 0.718
Te 0.740 0.750 0.833
Te 0.456 0.750 0.384
La 0.513 0.250 0.243
Tl 0.224 0.750 0.990
Te 0.544 0.250 0.616



10.
Computed, not measured: HfHgPd after structural relaxation at the PBE level of DFT.

Summary:
* SG: P4/mmm
* magnetization: 0.00 μB/f.u.
* DFT formation energy: -0.42 eV per atom

Cell: 3.499 3.499 9.187 Å, 90.00 90.00 90.00°
Fractional coordinates of all 6 atoms:
Hg 0.500 0.500 0.821
Pd 0.000 0.000 0.344
Hg 0.500 0.500 0.179
Hf 0.000 0.000 0.000
Hf 0.500 0.500 0.500
Pd 0.000 0.000 0.656



11.
Computed, not measured: DyPtNO after structural relaxation at the PBE level of DFT.

Summary:
* energy above the most stable polymorph in this dataset: 177 meV per atom
* SG: Pmc2_1
* magnetization: 0.00 μB/f.u.

Cell: 4.247 4.360 6.817 Å, 90.00 90.00 90.00°
Fractional coordinates of all 8 atoms:
O 0.500 0.943 0.874
N 0.000 0.918 0.317
Dy 0.500 0.945 0.195
Pt 0.000 0.448 0.390
Pt 0.000 0.948 0.610
O 0.500 0.443 0.126
Dy 0.500 0.445 0.805
N 0.000 0.418 0.683



12.
Computed, not measured: Tc2AsOs after structural relaxation at the PBE level of DFT.

Summary:
* VASP energy: -0.6474 Ry/atom
* SG: F-43m
* magnetization: 0.00 μB/f.u.

Cell: 4.365 4.365 4.365 Å, 60.00 60.00 60.00°
Fractional coordinates of all 4 atoms:
Tc 0.000 0.000 0.000
Os 0.250 0.250 0.250
As 0.500 0.500 0.500
Tc 0.750 0.750 0.750



13.
Computed, not measured: BaHg2As2S6 after structural relaxation at the PBE level of DFT.

Summary:
* VASP energy: -0.2821 Ry/atom
* SG: Cmce

Cell: 5.906 5.906 16.541 Å, 90.00 90.00 89.86°
Fractional coordinates of all 22 atoms:
S 0.095 0.484 0.600
As 0.481 0.519 0.604
S 0.516 0.905 0.600
S 0.405 0.016 0.100
S 0.016 0.405 0.900
Hg 0.984 0.516 0.750
Ba 0.000 0.000 0.500
S 0.968 0.032 0.238
Hg 0.016 0.484 0.250
As 0.981 0.019 0.896
Hg 0.484 0.016 0.750
S 0.468 0.532 0.262
As 0.519 0.481 0.396
S 0.905 0.516 0.400
Hg 0.516 0.984 0.250
As 0.019 0.981 0.104
S 0.532 0.468 0.738
S 0.595 0.984 0.900
S 0.984 0.595 0.100
S 0.032 0.968 0.762
Ba 0.500 0.500 0.000
S 0.484 0.095 0.400



14.
Computed, not measured: Y6ReO12 after structural relaxation at the PBE level of DFT.

Summary:
* VASP energy: -0.6593 Ry/atom
* SG: R-3
* magnetization: 1.00 μB/f.u.

Cell: 6.446 6.446 6.446 Å, 98.70 98.70 98.70°
Fractional coordinates of all 19 atoms:
O 0.432 0.177 0.590
Y 0.143 0.314 0.611
Y 0.389 0.857 0.686
Y 0.857 0.686 0.389
O 0.410 0.568 0.823
O 0.568 0.823 0.410
O 0.590 0.432 0.177
O 0.926 0.704 0.035
O 0.074 0.296 0.965
O 0.704 0.035 0.926
O 0.823 0.410 0.568
Y 0.611 0.143 0.314
Y 0.314 0.611 0.143
Re 0.000 0.000 0.000
O 0.296 0.965 0.074
O 0.177 0.590 0.432
O 0.965 0.074 0.296
O 0.035 0.926 0.704
Y 0.686 0.389 0.857



15.
Computed, not measured: Hf2Zn after structural relaxation at the PBE level of DFT.

Summary:
* SG: Fd-3m
* magnetization: 0.91 μB/f.u.
* DFT formation energy: 2.77 eV per atom

Cell: 8.017 8.017 8.017 Å, 60.00 60.00 60.00°
Fractional coordinates of all 6 atoms:
Hf 0.375 0.875 0.375
Zn 0.250 0.250 0.250
Hf 0.375 0.375 0.375
Zn 0.500 0.500 0.500
Hf 0.875 0.375 0.375
Hf 0.375 0.375 0.875



16.
Computed, not measured: Zr4AlGaC2 after structural relaxation at the PBE level of DFT.

Summary:
* VASP energy: -0.5962 Ry/atom
* SG: P-6m2
* magnetization: 0.00 μB/f.u.

Cell: 3.334 3.334 14.405 Å, 90.00 90.00 120.00°
Fractional coordinates of all 8 atoms:
Ga 0.667 0.333 0.000
Zr 0.333 0.667 0.160
Al 0.333 0.667 0.500
C 0.000 0.000 0.247
Zr 0.667 0.333 0.664
Zr 0.333 0.667 0.840
C 0.000 0.000 0.753
Zr 0.667 0.333 0.336



17.
Computed, not measured: DyS3Cl after structural relaxation at the PBE level of DFT.

Summary:
* energy above the most stable polymorph in this dataset: 117 meV per atom
* SG: C2/m
* magnetization: 0.00 μB/f.u.

Cell: 5.874 5.874 7.119 Å, 93.51 93.51 92.61°
Fractional coordinates of all 10 atoms:
Cl 0.651 0.651 0.234
S 0.088 0.088 0.758
S 0.912 0.912 0.242
S 0.854 0.606 0.777
Dy 0.759 0.241 0.000
S 0.146 0.394 0.223
Cl 0.349 0.349 0.766
S 0.606 0.854 0.777
Dy 0.241 0.759 0.000
S 0.394 0.146 0.223



18.
Computed, not measured: Tl2CdInF6 after structural relaxation at the PBE level of DFT.

Summary:
* VASP energy: -0.2858 Ry/atom
* SG: P-1

Cell: 6.126 6.132 8.679 Å, 90.02 90.01 90.04°
Fractional coordinates of all 20 atoms:
F 0.198 0.292 0.001
F 0.700 0.789 0.501
Tl 0.450 0.050 0.750
F 0.210 0.799 0.500
F 0.708 0.297 0.000
F 0.449 0.549 0.745
Tl 0.950 0.550 0.250
F 0.702 0.808 0.999
F 0.949 0.050 0.245
Tl 0.450 0.050 0.250
Cd 0.950 0.050 0.500
F 0.690 0.300 0.500
F 0.200 0.310 0.499
In 0.450 0.550 0.500
Tl 0.950 0.550 0.750
F 0.193 0.803 0.000
F 0.451 0.550 0.255
Cd 0.450 0.550 0.000
In 0.950 0.050 0.000
F 0.951 0.050 0.755



19.
Computed, not measured: TbMgU after structural relaxation at the PBE level of DFT.

Summary:
* energy above the most stable polymorph in this dataset: 0 meV per atom
* SG: F-43m
* magnetization: 4.43 μB/f.u.

Cell: 5.157 5.157 5.157 Å, 60.00 60.00 60.00°
Fractional coordinates of all 3 atoms:
U 0.750 0.750 0.750
Tb 0.250 0.250 0.250
Mg 0.000 0.000 0.000



20.
Computed, not measured: Dy2Y3TmP2Os after structural relaxation at the PBE level of DFT.

Summary:
* VASP energy: -0.5048 Ry/atom
* SG: Amm2
* magnetization: 0.03 μB/f.u.

Cell: 4.137 7.710 7.710 Å, 119.51 90.00 90.00°
Fractional coordinates of all 9 atoms:
Dy 0.500 0.751 0.000
Y 0.000 0.408 0.999
Os 0.000 0.007 0.007
Tm 0.500 0.250 0.250
P 0.500 0.664 0.334
P 0.500 0.334 0.664
Y 0.000 0.999 0.408
Y 0.000 0.587 0.587
Dy 0.500 0.000 0.751



21.
Computed, not measured: Hf2O after structural relaxation at the PBE level of DFT.

Summary:
* VASP energy: -0.6139 Ry/atom
* SG: Fd-3m
* magnetization: 0.54 μB/f.u.

Cell: 6.679 6.679 6.679 Å, 60.00 60.00 60.00°
Fractional coordinates of all 6 atoms:
Hf 0.375 0.375 0.375
Hf 0.375 0.875 0.375
Hf 0.875 0.375 0.375
Hf 0.375 0.375 0.875
O 0.250 0.250 0.250
O 0.500 0.500 0.500



22.
Computed, not measured: GaNiAu2 after structural relaxation at the PBE level of DFT.

Summary:
* VASP energy: -0.2805 Ry/atom
* SG: F-43m
* magnetization: 0.01 μB/f.u.

Cell: 4.473 4.473 4.473 Å, 60.00 60.00 60.00°
Fractional coordinates of all 4 atoms:
Ni 0.250 0.250 0.250
Au 0.000 0.000 0.000
Au 0.750 0.750 0.750
Ga 0.500 0.500 0.500



23.
Computed, not measured: GdHfZn after structural relaxation at the PBE level of DFT.

Summary:
* energy above the most stable polymorph in this dataset: 0 meV per atom
* SG: F-43m
* magnetization: 0.66 μB/f.u.
* DFT formation energy: 0.28 eV per atom

Cell: 4.727 4.727 4.727 Å, 60.00 60.00 60.00°
Fractional coordinates of all 3 atoms:
Hf 0.750 0.750 0.750
Gd 0.250 0.250 0.250
Zn 0.000 0.000 0.000